This record from Alexandria describes crystalline Ba3FeCu2O6 at its relaxed geometry. The functional is PBE with a Hubbard U.

Computed properties:
Energy, eV/cell: -68.716
Magnetization, μB per formula unit: 4.0

Unit cell a=5.9448 b=5.9448 c=6.7605 alpha=90.00 beta=90.00 gamma=120.00
Space group P-3m1 (No. 164)
Inequivalent atoms, fractional coordinates:
Ba: 0.0000 0.0000 0.0000 [1 per cell]
Ba: 0.3333 0.6667 0.6545 [2 per cell]
Fe: 0.0000 0.0000 0.5000 [1 per cell]
Cu: 0.3333 0.6667 0.2184 [2 per cell]
O: 0.1596 0.3191 0.3171 [6 per cell]